## Pm2BeCo (PBE-GGA)

Data for an optimized crystal structure of Pm2BeCo.

Structure (POSCAR):
```
Pm2BeCo
1.0
-3.710 -0.175 1.093
-2.696 -1.248 -2.493
-1.155 -7.147 1.797
Co Be Pm
1 1 2
Direct
0.136 0.898 0.830 Co
0.469 0.232 0.829 Be
0.889 0.653 0.569 Pm
0.716 0.479 0.089 Pm
```

Summary:
ρ: 6.4 g cm⁻³
D(E_F): 3.887 states/eV per cell
Magnetic moment: 0.00 μB/cell
Polymorph energy (0 for the lowest one): 0 meV per atom
Electronic total energy: -5.188 eV/atom
Calculated formation energy: -0.105 eV/atom



## Pm2BeCo (PBE-GGA)

Data for an optimized crystal structure of Pm2BeCo.

Structure (POSCAR):
```
Pm2BeCo
1.0
-0.436 -0.887 -3.347
-1.184 -3.132 0.985
-6.422 2.484 0.177
Co Be Pm
1 1 2
Direct
0.500 0.500 0.000 Co
0.500 0.500 0.500 Be
0.000 0.000 0.246 Pm
0.000 0.000 0.754 Pm
```

Summary:
ρ: 7.1 g cm⁻³
D(E_F): 3.088 states/eV per cell
Magnetic moment: 0.46 μB/cell
Polymorph energy (0 for the lowest one): 210 meV per atom
Electronic total energy: -4.978 eV/atom
Calculated formation energy: 0.105 eV/atom



## PmBe3Co3 (PBE-GGA)

Data for an optimized crystal structure of PmBe3Co3.

Structure (POSCAR):
```
PmBe3Co3
1.0
-1.983 4.662 2.741
-4.759 -2.891 1.474
2.569 -1.757 4.847
Be Pm Co
6 2 6
Direct
0.250 0.500 0.000 Be
0.500 0.000 0.250 Be
0.000 0.750 0.500 Be
0.000 0.250 0.500 Be
0.500 0.000 0.750 Be
0.750 0.500 0.000 Be
0.500 0.500 0.500 Pm
0.000 0.000 0.000 Pm
0.000 0.500 0.250 Co
0.500 0.750 0.000 Co
0.000 0.500 0.750 Co
0.500 0.250 0.000 Co
0.250 0.000 0.500 Co
0.750 0.000 0.500 Co
```

Summary:
ρ: 6.1 g cm⁻³
D(E_F): 10.102 states/eV per cell
Magnetic moment: 0.00 μB/cell
Electronic total energy: -5.077 eV/atom
Calculated formation energy: 0.244 eV/atom



## Pm2BeCo (PBE-GGA)

Data for an optimized crystal structure of Pm2BeCo.

Structure (POSCAR):
```
Pm2BeCo
1.0
-0.326 4.889 -0.174
-3.340 2.332 2.728
1.420 2.690 3.845
Co Be Pm
1 1 2
Direct
0.000 0.000 0.000 Co
0.500 0.500 0.500 Be
0.250 0.250 0.250 Pm
0.750 0.750 0.750 Pm
```

Summary:
ρ: 7.1 g cm⁻³
D(E_F): 3.058 states/eV per cell
Magnetic moment: 0.00 μB/cell
Polymorph energy (0 for the lowest one): 210 meV per atom
Electronic total energy: -4.978 eV/atom
Calculated formation energy: 0.105 eV/atom



## PmBeCoSi2 (PBE-GGA)

Data for an optimized crystal structure of PmBeCoSi2.

Structure (POSCAR):
```
PmBeCoSi2
1.0
-2.510 -2.150 2.108
2.587 -2.943 0.078
1.907 4.368 3.081
Pm Be Si Co
1 1 2 1
Direct
0.000 0.000 0.000 Pm
0.250 0.750 0.500 Be
0.627 0.627 0.254 Si
0.373 0.373 0.746 Si
0.750 0.250 0.500 Co
```

Summary:
ρ: 5.9 g cm⁻³
Raw formation energy: -0.60 eV/atom
D(E_F): 3.597 states/eV per cell
Magnetic moment: 0.16 μB/cell
Electronic total energy: -5.890 eV/atom



## Pm2Be3CoSi4 (PBE-GGA)

Data for an optimized crystal structure of Pm2Be3CoSi4.

Structure (POSCAR):
```
Pm2Be3CoSi4
1.0
3.935 0.000 0.000
0.000 3.935 0.000
0.000 0.000 9.710
Co Pm Si Be
1 2 4 3
Direct
0.500 0.500 0.500 Co
0.000 0.500 0.750 Pm
0.500 0.000 0.250 Pm
0.000 0.500 0.376 Si
0.500 0.000 0.624 Si
0.500 0.500 0.000 Si
0.000 0.000 0.000 Si
0.000 0.500 0.133 Be
0.000 0.000 0.500 Be
0.500 0.000 0.867 Be
```

Summary:
ρ: 5.4 g cm⁻³
Raw formation energy: -0.47 eV/atom
D(E_F): 6.883 states/eV per cell
Magnetic moment: 0.25 μB/cell
Electronic total energy: -5.417 eV/atom